# SiTc2BiAu PBE relaxed
data_SiTc2BiAu
_chemical_formula_sum 'Si1 Tc2 Bi1 Au1'
_space_group_name_H-M_alt 'P 4/m m m'
_space_group_IT_number 123
_space_group_name_Hall '-P 4 2'
_cell_length_a 5.1735
_cell_length_b 5.1735
_cell_length_c 5.1940
_cell_angle_alpha 90.00
_cell_angle_beta 90.00
_cell_angle_gamma 90.00
loop_
_atom_site_label
_atom_site_fract_x
_atom_site_fract_y
_atom_site_fract_z
_atom_site_occupancy
Si1 0.0000 0.0000 0.0000 1
Tc1 0.0000 0.5000 0.5000 1
Bi1 0.5000 0.5000 0.5000 1
Au1 0.5000 0.5000 0.0000 1
# **Electronic total energy**: -4.610 eV per atom
# **Spin magnetization**: 1.034 μB per atom
# **Fermi-level density of states**: 4.55 states/eV per cell